Record 1
Material: In3Sn2
Method: DFT, PBE-GGA
State: optimized geometry

Cell lengths 3.4045, 3.4045, 41.1393 Å; angles 90.00, 90.00, 120.00 degrees
Space group R-3m (No. 166, hexagonal axes)
Unique sites:
In  0.0000  0.0000  0.0000 [3 per cell]
In  0.0000  0.0000  0.4000 [6 per cell]
Sn  0.0000  0.0000  0.1995 [6 per cell]

Output
calculated density	7.0	g/cm³
total energy	-48.3	eV per cell
ΔE_f	27	meV per atom

Record 2
Material: RbTe2
Method: DFT, PBE-GGA
State: optimized geometry

Cell lengths 8.982, 4.130, 13.209 Å; angles 90.00, 90.00, 90.00 degrees
Space group Pnma (No. 62)
Unique sites:
Rb  0.170  0.250  0.136 [4 per cell]
Te  0.085  0.250  0.437 [4 per cell]
Te  0.187  0.250  0.852 [4 per cell]

Output
calculated density	4.6	g/cm³
total energy	-34.8	eV per cell
E_form (uncorrected)	-486	meV per atom
polymorph energy (0 for the lowest one)	104	meV per atom

Question: total energy of number 1 (In3Sn2)?
Answer: -48.3 eV per cell